# Ac2TlPt (PBE-GGA, relaxed)
data_Ac2TlPt
_symmetry_space_group_name_H-M 'P 4/m m m'
_symmetry_Int_Tables_number 123
_symmetry_space_group_name_Hall '-P 4 2'
_cell_length_a 3.8703
_cell_length_b 3.8703
_cell_length_c 8.2932
_cell_angle_alpha 90.00
_cell_angle_beta 90.00
_cell_angle_gamma 90.00
loop_
_atom_site_label
_atom_site_fract_x
_atom_site_fract_y
_atom_site_fract_z
Ac1 0.0000 0.0000 0.2168
Tl1 0.5000 0.5000 0.5000
Pt1 0.5000 0.5000 0.0000
# - magnetic moment (μB per cell) = 0.0
# - energy of formation from the pure elements (eV per formula unit) = -2.8
# - total DFT energy (no corrections) (eV/cell) = -19.5